Record 1
# NdZr2, optimized geometry, DFT PBE
data_NdZr2
_chemical_formula_sum 'Nd1 Zr2'
_cell_length_a 7.8831
_cell_length_b 7.8831
_cell_length_c 7.8831
_cell_angle_alpha 156.16
_cell_angle_beta 156.16
_cell_angle_gamma 33.96
_space_group_name_H-M_alt 'P 1'
_space_group_IT_number 1
loop_
_space_group_symop_operation_xyz
'x,y,z'
loop_
_atom_site_label
_atom_site_fract_x
_atom_site_fract_y
_atom_site_fract_z
Nd1 0.0000 0.0000 0.0000
Zr1 0.3212 0.3212 0.0000
Zr2 0.6788 0.6788 0.0000
# Formation energy from the elements (meV/atom): 131
# Distance to the lowest polymorph of the same formula (eV/f.u.): 0.000
# Symmetry: I4/mmm, No. 139

=====

Record 2
# NdSm2Dy2Y2, optimized geometry, DFT PBE
data_NdSm2Dy2Y2
_chemical_formula_sum 'Nd1 Sm2 Dy2 Y2'
_cell_length_a 6.2177
_cell_length_b 6.2177
_cell_length_c 8.0442
_cell_angle_alpha 97.28
_cell_angle_beta 97.28
_cell_angle_gamma 48.28
_space_group_name_H-M_alt 'P 1'
_space_group_IT_number 1
loop_
_space_group_symop_operation_xyz
'x,y,z'
loop_
_atom_site_label
_atom_site_fract_x
_atom_site_fract_y
_atom_site_fract_z
Nd1 0.0000 0.0000 0.0000
Sm1 0.4282 0.4282 0.2875
Sm2 0.5718 0.5718 0.7125
Dy1 0.1426 0.1426 0.4301
Dy2 0.8574 0.8574 0.5699
Y1 0.2862 0.2862 0.8549
Y2 0.7138 0.7138 0.1451
# Formation energy from the elements (meV/atom): 16
# Symmetry: C2/m, No. 12

=====

Record 3
# ZnMo3Pt, optimized geometry, DFT PBE
data_ZnMo3Pt
_chemical_formula_sum 'Zn1 Mo3 Pt1'
_cell_length_a 4.7874
_cell_length_b 4.7874
_cell_length_c 4.7874
_cell_angle_alpha 90.00
_cell_angle_beta 90.00
_cell_angle_gamma 90.00
_space_group_name_H-M_alt 'P 1'
_space_group_IT_number 1
loop_
_space_group_symop_operation_xyz
'x,y,z'
loop_
_atom_site_label
_atom_site_fract_x
_atom_site_fract_y
_atom_site_fract_z
Zn1 0.0000 0.0000 0.0000
Mo1 0.0000 0.5000 0.5000
Mo2 0.5000 0.0000 0.5000
Mo3 0.5000 0.5000 0.0000
Pt1 0.5000 0.5000 0.5000
# Formation energy from the elements (meV/atom): 1761
# Distance to the lowest polymorph of the same formula (eV/f.u.): 1.133
# Symmetry: Pm-3m, No. 221

=====

Record 4
# RbBaBi, optimized geometry, DFT PBE
data_RbBaBi
_chemical_formula_sum 'Rb2 Ba2 Bi2'
_cell_length_a 6.2626
_cell_length_b 6.2626
_cell_length_c 7.7179
_cell_angle_alpha 90.00
_cell_angle_beta 90.00
_cell_angle_gamma 120.00
_space_group_name_H-M_alt 'P 1'
_space_group_IT_number 1
loop_
_space_group_symop_operation_xyz
'x,y,z'
loop_
_atom_site_label
_atom_site_fract_x
_atom_site_fract_y
_atom_site_fract_z
Rb1 0.0000 0.0000 0.0000
Rb2 0.0000 0.0000 0.5000
Ba1 0.3333 0.6667 0.2500
Ba2 0.6667 0.3333 0.7500
Bi1 0.3333 0.6667 0.7500
Bi2 0.6667 0.3333 0.2500
# Formation energy from the elements (meV/atom): -689
# Symmetry: P6_3/mmc, No. 194

=====

Record 5
# Pu2FeSn, optimized geometry, DFT PBE
data_Pu2FeSn
_chemical_formula_sum 'Pu2 Fe1 Sn1'
_cell_length_a 10.0948
_cell_length_b 10.0948
_cell_length_c 10.0948
_cell_angle_alpha 19.85
_cell_angle_beta 19.85
_cell_angle_gamma 19.85
_space_group_name_H-M_alt 'P 1'
_space_group_IT_number 1
loop_
_space_group_symop_operation_xyz
'x,y,z'
loop_
_atom_site_label
_atom_site_fract_x
_atom_site_fract_y
_atom_site_fract_z
Pu1 0.1091 0.1091 0.1091
Pu2 0.8909 0.8909 0.8909
Fe1 0.5000 0.5000 0.5000
Sn1 0.0000 0.0000 0.0000
# Formation energy from the elements (meV/atom): 262
# Distance to the lowest polymorph of the same formula (eV/f.u.): 1.252
# Symmetry: R-3m, No. 166

=====

Record 6
# Ca2TaTc, optimized geometry, DFT PBE
data_Ca2TaTc
_chemical_formula_sum 'Ca2 Ta1 Tc1'
_cell_length_a 10.6993
_cell_length_b 10.6993
_cell_length_c 10.6993
_cell_angle_alpha 16.57
_cell_angle_beta 16.57
_cell_angle_gamma 16.57
_space_group_name_H-M_alt 'P 1'
_space_group_IT_number 1
loop_
_space_group_symop_operation_xyz
'x,y,z'
loop_
_atom_site_label
_atom_site_fract_x
_atom_site_fract_y
_atom_site_fract_z
Ca1 0.2435 0.2435 0.2435
Ca2 0.7565 0.7565 0.7565
Ta1 0.0000 0.0000 0.0000
Tc1 0.5000 0.5000 0.5000
# Formation energy from the elements (meV/atom): 844
# Distance to the lowest polymorph of the same formula (eV/f.u.): 2.738
# Symmetry: R-3m, No. 166

=====

Record 7
# AcSmBiO2, optimized geometry, DFT PBE
data_AcSmBiO2
_chemical_formula_sum 'Ac1 Sm1 Bi1 O2'
_cell_length_a 7.7436
_cell_length_b 7.7436
_cell_length_c 7.7436
_cell_angle_alpha 149.36
_cell_angle_beta 149.36
_cell_angle_gamma 43.88
_space_group_name_H-M_alt 'P 1'
_space_group_IT_number 1
loop_
_space_group_symop_operation_xyz
'x,y,z'
loop_
_atom_site_label
_atom_site_fract_x
_atom_site_fract_y
_atom_site_fract_z
Ac1 0.0000 0.0000 0.0000
Sm1 0.3298 0.3298 0.0000
Bi1 0.6703 0.6703 0.0000
O1 0.4067 0.9067 0.5000
O2 0.9067 0.4067 0.5000
# ΔE_f (raw) (kJ per mole of atoms): -250.15
# Symmetry: I4mm, No. 107

=====

Record 8
# ThPaB12, optimized geometry, DFT PBE
data_ThPaB12
_chemical_formula_sum 'Th1 Pa1 B12'
_cell_length_a 4.0881
_cell_length_b 4.0881
_cell_length_c 8.1797
_cell_angle_alpha 90.00
_cell_angle_beta 90.00
_cell_angle_gamma 90.00
_space_group_name_H-M_alt 'P 1'
_space_group_IT_number 1
loop_
_space_group_symop_operation_xyz
'x,y,z'
loop_
_atom_site_label
_atom_site_fract_x
_atom_site_fract_y
_atom_site_fract_z
Th1 0.0000 0.0000 0.0000
Pa1 0.0000 0.0000 0.5000
B1 0.1970 0.5000 0.2519
B2 0.1970 0.5000 0.7481
B3 0.5000 0.1970 0.2519
B4 0.5000 0.1970 0.7481
B5 0.5000 0.5000 0.0993
B6 0.5000 0.5000 0.4022
B7 0.5000 0.5000 0.5978
B8 0.5000 0.5000 0.9007
B9 0.5000 0.8030 0.2519
B10 0.5000 0.8030 0.7481
B11 0.8030 0.5000 0.2519
B12 0.8030 0.5000 0.7481
# Formation energy from the elements (meV/atom): -434
# Symmetry: P4/mmm, No. 123

=====

Record 9
# Li2PbW, optimized geometry, DFT PBE
data_Li2PbW
_chemical_formula_sum 'Li2 Pb1 W1'
_cell_length_a 5.4163
_cell_length_b 5.4163
_cell_length_c 2.8381
_cell_angle_alpha 90.00
_cell_angle_beta 90.00
_cell_angle_gamma 117.44
_space_group_name_H-M_alt 'P 1'
_space_group_IT_number 1
loop_
_space_group_symop_operation_xyz
'x,y,z'
loop_
_atom_site_label
_atom_site_fract_x
_atom_site_fract_y
_atom_site_fract_z
Li1 0.0000 0.5000 0.0000
Li2 0.5000 0.0000 0.0000
Pb1 0.0000 0.0000 0.5000
W1 0.5000 0.5000 0.5000
# Formation energy from the elements (meV/atom): 559
# Symmetry: Cmmm, No. 65

=====

Record 10
# CuNi4W, optimized geometry, DFT PBE
data_CuNi4W
_chemical_formula_sum 'Cu1 Ni4 W1'
_cell_length_a 4.4179
_cell_length_b 4.4179
_cell_length_c 4.4104
_cell_angle_alpha 98.85
_cell_angle_beta 98.85
_cell_angle_gamma 120.06
_space_group_name_H-M_alt 'P 1'
_space_group_IT_number 1
loop_
_space_group_symop_operation_xyz
'x,y,z'
loop_
_atom_site_label
_atom_site_fract_x
_atom_site_fract_y
_atom_site_fract_z
Cu1 0.0000 0.0000 0.0000
Ni1 0.1660 0.8340 0.5000
Ni2 0.3335 0.6665 0.0000
Ni3 0.6665 0.3335 0.0000
Ni4 0.8340 0.1660 0.5000
W1 0.5000 0.5000 0.5000
# Formation energy from the elements (meV/atom): -5
# Distance to the lowest polymorph of the same formula (eV/f.u.): 0.000
# Symmetry: C2/m, No. 12

=====

Record 11
# LiMnCo2B, optimized geometry, DFT PBE
data_LiMnCo2B
_chemical_formula_sum 'Li1 Mn1 Co2 B1'
_cell_length_a 4.0796
_cell_length_b 4.0796
_cell_length_c 4.2700
_cell_angle_alpha 90.00
_cell_angle_beta 90.00
_cell_angle_gamma 90.00
_space_group_name_H-M_alt 'P 1'
_space_group_IT_number 1
loop_
_space_group_symop_operation_xyz
'x,y,z'
loop_
_atom_site_label
_atom_site_fract_x
_atom_site_fract_y
_atom_site_fract_z
Li1 0.0000 0.0000 0.0000
Mn1 0.0000 0.0000 0.5000
Co1 0.0000 0.5000 0.5000
Co2 0.5000 0.0000 0.5000
B1 0.5000 0.5000 0.0000
# Formation energy from the elements (meV/atom): 1792
# Symmetry: P4/mmm, No. 123

=====

Record 12
# KTc3Br, optimized geometry, DFT PBE
data_KTc3Br
_chemical_formula_sum 'K1 Tc3 Br1'
_cell_length_a 5.2500
_cell_length_b 5.2500
_cell_length_c 5.2500
_cell_angle_alpha 90.00
_cell_angle_beta 90.00
_cell_angle_gamma 90.00
_space_group_name_H-M_alt 'P 1'
_space_group_IT_number 1
loop_
_space_group_symop_operation_xyz
'x,y,z'
loop_
_atom_site_label
_atom_site_fract_x
_atom_site_fract_y
_atom_site_fract_z
K1 0.0000 0.0000 0.0000
Tc1 0.0000 0.0000 0.5000
Tc2 0.0000 0.5000 0.0000
Tc3 0.5000 0.0000 0.0000
Br1 0.5000 0.5000 0.5000
# Distance to the lowest polymorph of the same formula (eV/f.u.): 7.140
# ΔE_f (raw) (kJ per mole of atoms): 306.89
# Symmetry: Pm-3m, No. 221

=====

Record 13
# ZrCdMo2, optimized geometry, DFT PBE
data_ZrCdMo2
_chemical_formula_sum 'Zr1 Cd1 Mo2'
_cell_length_a 5.4594
_cell_length_b 5.4594
_cell_length_c 5.4594
_cell_angle_alpha 142.62
_cell_angle_beta 130.87
_cell_angle_gamma 63.32
_space_group_name_H-M_alt 'P 1'
_space_group_IT_number 1
loop_
_space_group_symop_operation_xyz
'x,y,z'
loop_
_atom_site_label
_atom_site_fract_x
_atom_site_fract_y
_atom_site_fract_z
Zr1 0.0000 0.0000 0.0000
Cd1 0.5000 0.5000 0.0000
Mo1 0.2445 0.7445 0.5000
Mo2 0.7555 0.2555 0.5000
# Formation energy from the elements (meV/atom): 331
# Symmetry: Immm, No. 71

=====

Record 14
# BaAlSeO6, optimized geometry, DFT PBE
data_BaAlSeO6
_chemical_formula_sum 'Ba1 Al1 Se1 O6'
_cell_length_a 5.0123
_cell_length_b 5.0123
_cell_length_c 5.8448
_cell_angle_alpha 90.00
_cell_angle_beta 90.00
_cell_angle_gamma 120.00
_space_group_name_H-M_alt 'P 1'
_space_group_IT_number 1
loop_
_space_group_symop_operation_xyz
'x,y,z'
loop_
_atom_site_label
_atom_site_fract_x
_atom_site_fract_y
_atom_site_fract_z
Ba1 0.0000 0.0000 0.0000
Al1 0.6667 0.3333 0.5000
Se1 0.3333 0.6667 0.5000
O1 0.0149 0.3946 0.6795
O2 0.0149 0.6203 0.3205
O3 0.3797 0.3946 0.3205
O4 0.3797 0.9851 0.6795
O5 0.6054 0.6203 0.6795
O6 0.6054 0.9851 0.3205
# ΔE_f (raw) (kJ per mole of atoms): -164.80
# Symmetry: P312, No. 149

=====

Record 15
# InPb8Au2, optimized geometry, DFT PBE
data_InPb8Au2
_chemical_formula_sum 'In1 Pb8 Au2'
_cell_length_a 9.7123
_cell_length_b 9.7123
_cell_length_c 5.5958
_cell_angle_alpha 100.42
_cell_angle_beta 100.42
_cell_angle_gamma 40.56
_space_group_name_H-M_alt 'P 1'
_space_group_IT_number 1
loop_
_space_group_symop_operation_xyz
'x,y,z'
loop_
_atom_site_label
_atom_site_fract_x
_atom_site_fract_y
_atom_site_fract_z
In1 0.0000 0.0000 0.0000
Pb1 0.1690 0.6553 0.5131
Pb2 0.2362 0.2362 0.4115
Pb3 0.3362 0.3362 0.9754
Pb4 0.3447 0.8310 0.4869
Pb5 0.6553 0.1690 0.5131
Pb6 0.6638 0.6638 0.0246
Pb7 0.7638 0.7638 0.5885
Pb8 0.8310 0.3447 0.4869
Au1 0.1566 0.1566 0.9095
Au2 0.8434 0.8434 0.0905
# Formation energy from the elements (meV/atom): 57
# Symmetry: C2/m, No. 12

=====

Record 16
# TiNb2Tl, optimized geometry, DFT PBE
data_TiNb2Tl
_chemical_formula_sum 'Ti2 Nb4 Tl2'
_cell_length_a 10.6943
_cell_length_b 10.6943
_cell_length_c 10.6943
_cell_angle_alpha 158.58
_cell_angle_beta 158.58
_cell_angle_gamma 30.47
_space_group_name_H-M_alt 'P 1'
_space_group_IT_number 1
loop_
_space_group_symop_operation_xyz
'x,y,z'
loop_
_atom_site_label
_atom_site_fract_x
_atom_site_fract_y
_atom_site_fract_z
Ti1 0.0000 0.0000 0.0000
Ti2 0.7500 0.2500 0.5000
Nb1 0.1139 0.6250 0.9889
Nb2 0.3750 0.3639 0.4889
Nb3 0.6361 0.1250 0.0111
Nb4 0.8750 0.8861 0.5111
Tl1 0.2500 0.7500 0.5000
Tl2 0.5000 0.5000 0.0000
# Formation energy from the elements (meV/atom): 550
# Distance to the lowest polymorph of the same formula (eV/f.u.): 1.777
# Symmetry: I-42d, No. 122

=====

Record 17
# GdZrAlZn, optimized geometry, DFT PBE
data_GdZrAlZn
_chemical_formula_sum 'Gd1 Zr1 Al1 Zn1'
_cell_length_a 4.9291
_cell_length_b 4.9291
_cell_length_c 4.9291
_cell_angle_alpha 60.00
_cell_angle_beta 60.00
_cell_angle_gamma 60.00
_space_group_name_H-M_alt 'P 1'
_space_group_IT_number 1
loop_
_space_group_symop_operation_xyz
'x,y,z'
loop_
_atom_site_label
_atom_site_fract_x
_atom_site_fract_y
_atom_site_fract_z
Gd1 0.0000 0.0000 0.0000
Zr1 0.5000 0.5000 0.5000
Al1 0.7500 0.7500 0.7500
Zn1 0.2500 0.2500 0.2500
# Formation energy from the elements (meV/atom): -287
# Symmetry: F-43m, No. 216

=====

Record 18
# FeAgBr2, optimized geometry, DFT PBE
data_FeAgBr2
_chemical_formula_sum 'Fe1 Ag1 Br2'
_cell_length_a 5.3621
_cell_length_b 3.5072
_cell_length_c 5.6178
_cell_angle_alpha 90.00
_cell_angle_beta 100.29
_cell_angle_gamma 90.00
_space_group_name_H-M_alt 'P 1'
_space_group_IT_number 1
loop_
_space_group_symop_operation_xyz
'x,y,z'
loop_
_atom_site_label
_atom_site_fract_x
_atom_site_fract_y
_atom_site_fract_z
Fe1 0.0000 0.0000 0.0000
Ag1 0.5000 0.0000 0.5000
Br1 0.2086 0.5000 0.7856
Br2 0.7914 0.5000 0.2144
# Distance to the lowest polymorph of the same formula (eV/f.u.): 0.699
# ΔE_f (raw) (kJ per mole of atoms): 14.24
# Symmetry: P2/m, No. 10

=====

Record 19
# CsLi2InMo, optimized geometry, DFT PBE
data_CsLi2InMo
_chemical_formula_sum 'Cs1 Li2 In1 Mo1'
_cell_length_a 5.3525
_cell_length_b 5.3525
_cell_length_c 5.2976
_cell_angle_alpha 90.00
_cell_angle_beta 90.00
_cell_angle_gamma 90.00
_space_group_name_H-M_alt 'P 1'
_space_group_IT_number 1
loop_
_space_group_symop_operation_xyz
'x,y,z'
loop_
_atom_site_label
_atom_site_fract_x
_atom_site_fract_y
_atom_site_fract_z
Cs1 0.0000 0.0000 0.0000
Li1 0.0000 0.5000 0.5000
Li2 0.5000 0.0000 0.5000
In1 0.5000 0.5000 0.0000
Mo1 0.0000 0.0000 0.5000
# Formation energy from the elements (meV/atom): 1389
# Symmetry: P4/mmm, No. 123

=====

Record 20
# ThGaIr, optimized geometry, DFT PBE
data_ThGaIr
_chemical_formula_sum 'Th1 Ga1 Ir1'
_cell_length_a 4.6634
_cell_length_b 4.6634
_cell_length_c 4.6634
_cell_angle_alpha 60.00
_cell_angle_beta 60.00
_cell_angle_gamma 60.00
_space_group_name_H-M_alt 'P 1'
_space_group_IT_number 1
loop_
_space_group_symop_operation_xyz
'x,y,z'
loop_
_atom_site_label
_atom_site_fract_x
_atom_site_fract_y
_atom_site_fract_z
Th1 0.0000 0.0000 0.0000
Ga1 0.5000 0.5000 0.5000
Ir1 0.2500 0.2500 0.2500
# Formation energy from the elements (meV/atom): -673
# Symmetry: F-43m, No. 216

=====

Record 21
# LaPmMnZn, optimized geometry, DFT PBE
data_LaPmMnZn
_chemical_formula_sum 'La1 Pm1 Mn1 Zn1'
_cell_length_a 5.2244
_cell_length_b 5.2244
_cell_length_c 5.2244
_cell_angle_alpha 60.00
_cell_angle_beta 60.00
_cell_angle_gamma 60.00
_space_group_name_H-M_alt 'P 1'
_space_group_IT_number 1
loop_
_space_group_symop_operation_xyz
'x,y,z'
loop_
_atom_site_label
_atom_site_fract_x
_atom_site_fract_y
_atom_site_fract_z
La1 0.0000 0.0000 0.0000
Pm1 0.5000 0.5000 0.5000
Mn1 0.2500 0.2500 0.2500
Zn1 0.7500 0.7500 0.7500
# Formation energy from the elements (meV/atom): 8
# Symmetry: F-43m, No. 216

=====

| no. | energy (eV per atom) |
| --- | --- |
| 1 | -7.16 |
| 2 | -5.17 |
| 3 | -6.20 |
| 4 | -2.95 |
| 5 | -10.02 |
| 6 | -5.71 |
| 7 | -7.12 |
| 8 | -7.37 |
| 9 | -4.56 |
| 10 | -6.70 |
| 11 | -4.60 |
| 12 | -3.59 |
| 13 | -7.45 |
| 14 | -6.03 |
| 15 | -3.48 |
| 16 | -7.05 |
| 17 | -7.20 |
| 18 | -3.52 |
| 19 | -2.26 |
| 20 | -7.11 |
| 21 | -5.02 |